No. 1
NaZnGeIr: relaxed, GGA-PBE.

Its formation energy is -0.1192 eV/atom.

The structure belongs to space group P4/nmm (No. 129, origin choice 2); the cell edges are 4.047, 4.047 and 10.135 Å and the angles 90.00°, 90.00° and 90.00°. The inequivalent atoms are Na at (0.250, 0.250, 0.247), Zn at (0.250, 0.750, 0.500), Ge at (0.250, 0.250, 0.858) and Ir at (0.250, 0.750, 0.000).

***

No. 2
Ba4LiW: relaxed, GGA-PBE.

Its formation energy is 1.2544 eV/atom.

The structure belongs to space group F-43m (No. 216); the cell edges are 10.286, 10.286 and 10.286 Å and the angles 90.00°, 90.00° and 90.00°. The inequivalent atoms are Ba at (0.124, 0.124, 0.376), Li at (0.000, 0.000, 0.000) and W at (0.250, 0.250, 0.750).

***

No. 3
LiOs2Br: relaxed, GGA-PBE.

Its raw formation energy is 986 meV per atom.

The structure belongs to space group F-43m (No. 216); the cell edges are 6.266, 6.266 and 6.266 Å and the angles 90.00°, 90.00° and 90.00°. The inequivalent atoms are Li at (0.000, 0.000, 0.000), Os at (0.000, 0.000, 0.500), Os at (0.250, 0.250, 0.750) and Br at (0.250, 0.250, 0.250).

***

No. 4
RbNiRhCl6: relaxed, GGA-PBE.

Its raw formation energy is -909 meV per atom.

The structure belongs to space group P312 (No. 149); the cell edges are 6.2298, 6.2298 and 7.4661 Å and the angles 90.00°, 90.00° and 120.00°. The inequivalent atoms are Rb at (0.0000, 0.0000, 0.0000), Ni at (0.6667, 0.3333, 0.5000), Rh at (0.3333, 0.6667, 0.5000) and Cl at (0.0053, 0.3681, 0.6781).

***

No. 5
TaTc2Br: relaxed, GGA-PBE.

Its raw formation energy is 293 meV per atom.

The structure belongs to space group Pm (No. 6); the cell edges are 3.636, 3.049 and 7.637 Å and the angles 90.00°, 90.33° and 90.00°. The inequivalent atoms are Ta at (0.000, 0.000, 0.000), Tc at (0.005, 0.000, 0.332), Tc at (0.503, 0.500, 0.195) and Br at (0.997, 0.500, 0.715).

***

No. 6
SiIrN2F: relaxed, GGA-PBE.

Its raw formation energy is 750 meV per atom.

The structure belongs to space group P4/mmm (No. 123); the cell edges are 3.811, 3.811 and 4.585 Å and the angles 90.00°, 90.00° and 90.00°. The inequivalent atoms are Si at (0.000, 0.000, 0.000), Ir at (0.500, 0.500, 0.500), N at (0.000, 0.500, 0.500) and F at (0.500, 0.500, 0.000).

***

Computed M_tot, in the same sequence as the records: 0.0000 0.6409 0.0000 0.2300 0.0000 0.0000 μB per atom.
Computed total energy, in the same sequence as the records: -4.1370 -2.5052 -5.5260 -3.7065 -8.2714 -5.8109 eV/atom.